[1]
Density functional theory data (PBEsol) for an optimized crystal structure of LiMg2Cr.

As for the symmetry: R-3m, No. 166. The formation energy is 9.9 kcal/mol of atoms. Its magnetic moment is 0.06 μB per cell.

Cell: 9.7769 9.7769 9.7769 Å, 16.62 16.62 16.62°
Sites, in units of the cell vectors:
Li  0.0000  0.0000  0.0000
Mg  0.2446  0.2446  0.2446
Mg  0.7554  0.7554  0.7554
Cr  0.5000  0.5000  0.5000

[2]
Density functional theory data (PBEsol) for an optimized crystal structure of ScTcOF2.

As for the symmetry: P4/mmm, No. 123. The value obtained for the formation energy from raw total energies is -162.1 kJ per mole of atoms. Its magnetic moment is 4.33 μB per cell.

Cell: 4.0963 4.0963 4.0314 Å, 90.00 90.00 90.00°
Sites, in units of the cell vectors:
Sc  0.0000  0.0000  0.0000
Tc  0.5000  0.5000  0.5000
O  0.0000  0.0000  0.5000
F  0.0000  0.5000  0.0000
F  0.5000  0.0000  0.0000

[3]
Density functional theory data (PBEsol) for an optimized crystal structure of ScTc2W.

As for the symmetry: Fm-3m, No. 225. The formation energy is -4.7 kcal/mol of atoms. Its magnetic moment is 0.00 μB per cell.

Cell: 4.4209 4.4209 4.4209 Å, 60.00 60.00 60.00°
Sites, in units of the cell vectors:
Sc  0.0000  0.0000  0.0000
Tc  0.2500  0.2500  0.2500
Tc  0.7500  0.7500  0.7500
W  0.5000  0.5000  0.5000